[1]
Computed, not measured: ZrV2Cr after structural relaxation at the PBE-GGA level of DFT.

Values from the calculation:
The calculation puts the energy relative to the lowest polymorph listed for this composition at 0.403 eV per atom. The value obtained for the electronic total energy is -8.60 eV per atom. The formation energy is 0.500 eV per atom.

Cell lengths 9.585, 5.008, 2.777 Å; angles 90.00, 104.05, 90.00 degrees
Space group C2/m (No. 12)
Symmetry-distinct sites (fractional):
Zr 0.000 0.000 0.000 [2 per cell]
V 0.203 0.500 0.690 [4 per cell]
Cr 0.000 0.500 0.000 [2 per cell]

=====

[2]
Computed, not measured: ZrV2Cr after structural relaxation at the PBE-GGA level of DFT.

Values from the calculation:
The calculation puts the energy relative to the lowest polymorph listed for this composition at 0.137 eV per atom. The value obtained for the electronic total energy is -8.87 eV per atom. The formation energy is 0.234 eV per atom.

Cell lengths 6.215, 6.215, 6.215 Å; angles 90.00, 90.00, 90.00 degrees
Space group Fm-3m (No. 225)
Symmetry-distinct sites (fractional):
Zr 0.000 0.000 0.000 [4 per cell]
V 0.250 0.250 0.250 [8 per cell]
Cr 0.000 0.000 0.500 [4 per cell]

=====

[3]
Computed, not measured: ZrVCr3 after structural relaxation at the PBE-GGA level of DFT.

Values from the calculation:
The value obtained for the electronic total energy is -8.49 eV per atom. The formation energy is 0.815 eV per atom.

Cell lengths 4.326, 4.326, 4.326 Å; angles 90.00, 90.00, 90.00 degrees
Space group Pm-3m (No. 221)
Symmetry-distinct sites (fractional):
Zr 0.000 0.000 0.000 [1 per cell]
V 0.500 0.500 0.500 [1 per cell]
Cr 0.000 0.500 0.500 [3 per cell]

=====

[4]
Computed, not measured: ZrV3Cr after structural relaxation at the PBE-GGA level of DFT.

Values from the calculation:
The calculation puts the energy relative to the lowest polymorph listed for this composition at 0.000 eV per atom. The value obtained for the electronic total energy is -8.53 eV per atom. The formation energy is 0.578 eV per atom.

Cell lengths 4.370, 4.370, 4.370 Å; angles 90.00, 90.00, 90.00 degrees
Space group Pm-3m (No. 221)
Symmetry-distinct sites (fractional):
Zr 0.000 0.000 0.000 [1 per cell]
V 0.000 0.500 0.500 [3 per cell]
Cr 0.500 0.500 0.500 [1 per cell]